Record 1
Computed, not measured: PuZrPd after structural relaxation at the PBE-GGA level of DFT.

The value obtained for the magnetic moment is 6.60 μB/f.u. The calculation puts the total energy at -9.270 eV/atom. For the relative energy among the computed polymorphs, the calculation gives 0 meV per atom. As for the energy of formation: 3.9 kJ/mol of formula units.

It has space group F-43m (No. 216), with a = 6.549 Å, b = 6.549 Å, c = 6.549 Å, α = 90.00°, β = 90.00° and γ = 90.00°. Symmetry generates all atoms from Pu at (0.000, 0.000, 0.000), Zr at (0.000, 0.000, 0.500) and Pd at (0.250, 0.250, 0.250).


Record 2
Computed, not measured: RbPd8 after structural relaxation at the PBE-GGA level of DFT.

The calculation puts the total energy at -4.441 eV/atom.

It has space group Fddd (No. 70, origin choice 2), with a = 6.380 Å, b = 8.587 Å, c = 24.645 Å, α = 90.00°, β = 90.00° and γ = 90.00°. Symmetry generates all atoms from Rb at (0.125, 0.125, 0.125), Pd at (0.019, 0.262, 0.670) and Pd at (0.046, 0.273, 0.998).


Record 3
Computed, not measured: RbRePd after structural relaxation at the PBE-GGA level of DFT.

The value obtained for the magnetic moment is 4.07 μB/f.u. The calculation puts the total energy at -3.551 eV/atom. For the relative energy among the computed polymorphs, the calculation gives 729 meV per atom.

It has space group F-43m (No. 216), with a = 7.045 Å, b = 7.045 Å, c = 7.045 Å, α = 90.00°, β = 90.00° and γ = 90.00°. Symmetry generates all atoms from Rb at (0.000, 0.000, 0.000), Re at (0.250, 0.250, 0.250) and Pd at (0.250, 0.250, 0.750).


Record 4
Computed, not measured: RbRePd after structural relaxation at the PBE-GGA level of DFT.

The value obtained for the magnetic moment is 4.11 μB/f.u. The calculation puts the total energy at -4.279 eV/atom. For the relative energy among the computed polymorphs, the calculation gives 0 meV per atom.

It has space group F-43m (No. 216), with a = 6.897 Å, b = 6.897 Å, c = 6.897 Å, α = 90.00°, β = 90.00° and γ = 90.00°. Symmetry generates all atoms from Rb at (0.000, 0.000, 0.000), Re at (0.000, 0.000, 0.500) and Pd at (0.250, 0.250, 0.250).


Record 5
Computed, not measured: Rb2RePdSe6 after structural relaxation at the PBE-GGA level of DFT.

The value obtained for the magnetic moment is 0.52 μB/f.u. The calculation puts the total energy at -4.213 eV/atom.

It has space group Fm-3m (No. 225), with a = 10.207 Å, b = 10.207 Å, c = 10.207 Å, α = 90.00°, β = 90.00° and γ = 90.00°. Symmetry generates all atoms from Rb at (0.250, 0.250, 0.250), Re at (0.000, 0.000, 0.000), Pd at (0.000, 0.000, 0.500) and Se at (0.000, 0.000, 0.245).


Record 6
Computed, not measured: Rb2PdS2 after structural relaxation at the PBE-GGA level of DFT.

The calculation puts the total energy at -3.925 eV/atom.

It has space group Pbam (No. 55), with a = 6.959 Å, b = 10.738 Å, c = 3.652 Å, α = 90.00°, β = 90.00° and γ = 90.00°. Symmetry generates all atoms from Rb at (0.079, 0.164, 0.000), Pd at (0.000, 0.500, 0.000) and S at (0.188, 0.422, 0.500).


Record 7
Computed, not measured: Rb2Pd2S3 after structural relaxation at the PBE-GGA level of DFT.

The calculation puts the total energy at -3.880 eV/atom. For the relative energy among the computed polymorphs, the calculation gives 53 meV per atom.

It has space group I2_13 (No. 199), with a = 9.294 Å, b = 9.294 Å, c = 9.294 Å, α = 90.00°, β = 90.00° and γ = 90.00°. Symmetry generates all atoms from Rb at (0.109, 0.109, 0.109), Pd at (0.099, 0.401, 0.599) and S at (0.000, 0.250, 0.428).


Record 8
Computed, not measured: Rb2PdS3 after structural relaxation at the PBE-GGA level of DFT.

The calculation puts the total energy at -3.816 eV/atom.

It has space group Cmcm (No. 63), with a = 12.273 Å, b = 8.729 Å, c = 6.518 Å, α = 90.00°, β = 90.00° and γ = 90.00°. Symmetry generates all atoms from Rb at (0.153, 0.158, 0.250), Pd at (0.000, 0.441, 0.750), S at (0.000, 0.165, 0.750) and S at (0.131, 0.500, 0.000).


Record 9
Computed, not measured: Rb2Pd2S3 after structural relaxation at the PBE-GGA level of DFT.

The calculation puts the total energy at -3.933 eV/atom. For the relative energy among the computed polymorphs, the calculation gives 0 meV per atom.

It has space group R-3m (No. 166, hexagonal axes), with a = 7.5306 Å, b = 7.5306 Å, c = 16.4658 Å, α = 90.00°, β = 90.00° and γ = 120.00°. Symmetry generates all atoms from Rb at (0.0000, 0.0000, 0.0000), Rb at (0.0000, 0.0000, 0.5000), Pd at (0.0000, 0.0000, 0.2025) and S at (0.0000, 0.5000, 0.5000).


Record 10
Computed, not measured: RbScPdS3 after structural relaxation at the PBE-GGA level of DFT.

The value obtained for the magnetic moment is 0.00 μB/f.u. The calculation puts the total energy at -5.285 eV/atom. For the relative energy among the computed polymorphs, the calculation gives 0 meV per atom.

It has space group P2_1/m (No. 11), with a = 8.723 Å, b = 3.855 Å, c = 9.520 Å, α = 90.00°, β = 110.51° and γ = 90.00°. Symmetry generates all atoms from Rb at (0.212, 0.250, 0.239), Sc at (0.335, 0.750, 0.864), Pd at (0.093, 0.250, 0.589), S at (0.130, 0.250, 0.857), S at (0.230, 0.750, 0.564) and S at (0.467, 0.750, 0.147).


Record 11
Computed, not measured: RbScPdS3 after structural relaxation at the PBE-GGA level of DFT.

The value obtained for the magnetic moment is 0.00 μB/f.u. The calculation puts the total energy at -5.266 eV/atom. For the relative energy among the computed polymorphs, the calculation gives 20 meV per atom.

It has space group Cmcm (No. 63), with a = 3.885 Å, b = 15.502 Å, c = 9.516 Å, α = 90.00°, β = 90.00° and γ = 90.00°. Symmetry generates all atoms from Rb at (0.000, 0.243, 0.250), Sc at (0.000, 0.000, 0.000), Pd at (0.000, 0.490, 0.750), S at (0.000, 0.081, 0.750) and S at (0.000, 0.392, 0.560).


Record 12
Computed, not measured: Rb2PdSe2S after structural relaxation at the PBE-GGA level of DFT.

The calculation puts the total energy at -3.587 eV/atom.

It has space group P-1 (No. 2), with a = 6.952 Å, b = 7.257 Å, c = 9.570 Å, α = 68.64°, β = 70.39° and γ = 65.20°. Symmetry generates all atoms from Rb at (0.094, 0.186, 0.137), Rb at (0.340, 0.545, 0.323), Pd at (0.400, 0.038, 0.645), Se at (0.179, 0.346, 0.739), Se at (0.374, 0.830, 0.909) and S at (0.259, 0.959, 0.496).


Record 13
Computed, not measured: RbZrPdSe2S after structural relaxation at the PBE-GGA level of DFT.

The value obtained for the magnetic moment is 0.00 μB/f.u. The calculation puts the total energy at -5.406 eV/atom.

It has space group P2_1/m (No. 11), with a = 8.954 Å, b = 3.913 Å, c = 9.900 Å, α = 90.00°, β = 112.96° and γ = 90.00°. Symmetry generates all atoms from Rb at (0.238, 0.250, 0.272), Zr at (0.308, 0.750, 0.830), Pd at (0.099, 0.250, 0.588), Se at (0.113, 0.250, 0.858), Se at (0.462, 0.750, 0.140) and S at (0.237, 0.750, 0.557).


Record 14
Computed, not measured: RbSmPdS3 after structural relaxation at the PBE-GGA level of DFT.

The value obtained for the magnetic moment is 0.01 μB/f.u. The calculation puts the total energy at -5.055 eV/atom.

It has space group Cmcm (No. 63), with a = 4.125 Å, b = 15.539 Å, c = 10.129 Å, α = 90.00°, β = 90.00° and γ = 90.00°. Symmetry generates all atoms from Rb at (0.000, 0.246, 0.250), Sm at (0.000, 0.000, 0.000), Pd at (0.000, 0.494, 0.750), S at (0.000, 0.082, 0.750) and S at (0.000, 0.388, 0.580).


Record 15
Computed, not measured: RbTaPdS5 after structural relaxation at the PBE-GGA level of DFT.

The value obtained for the magnetic moment is 0.00 μB/f.u. The calculation puts the total energy at -5.478 eV/atom.

It has space group P-1 (No. 2), with a = 7.142 Å, b = 7.638 Å, c = 8.747 Å, α = 67.13°, β = 77.62° and γ = 82.75°. Symmetry generates all atoms from Rb at (0.130, 0.345, 0.320), Ta at (0.250, 0.964, 0.012), Pd at (0.446, 0.690, 0.324), S at (0.046, 0.784, 0.970), S at (0.175, 0.908, 0.305), S at (0.289, 0.138, 0.711), S at (0.367, 0.593, 0.617) and S at (0.466, 0.241, 0.977).


Record 16
Computed, not measured: RbTbPdS3 after structural relaxation at the PBE-GGA level of DFT.

The value obtained for the magnetic moment is 0.00 μB/f.u. The calculation puts the total energy at -5.057 eV/atom.

It has space group Cmcm (No. 63), with a = 4.093 Å, b = 15.580 Å, c = 9.921 Å, α = 90.00°, β = 90.00° and γ = 90.00°. Symmetry generates all atoms from Rb at (0.000, 0.247, 0.250), Tb at (0.000, 0.000, 0.000), Pd at (0.000, 0.495, 0.750), S at (0.000, 0.083, 0.750) and S at (0.000, 0.390, 0.576).


Record 17
Computed, not measured: RbTmPdS3 after structural relaxation at the PBE-GGA level of DFT.

The value obtained for the magnetic moment is 0.01 μB/f.u. The calculation puts the total energy at -5.053 eV/atom. For the relative energy among the computed polymorphs, the calculation gives 0 meV per atom.

It has space group P2_1/m (No. 11), with a = 8.845 Å, b = 4.020 Å, c = 9.587 Å, α = 90.00°, β = 109.04° and γ = 90.00°. Symmetry generates all atoms from Rb at (0.204, 0.250, 0.232), Tm at (0.333, 0.750, 0.859), Pd at (0.092, 0.250, 0.586), S at (0.124, 0.250, 0.853), S at (0.209, 0.750, 0.550) and S at (0.463, 0.750, 0.151).


Record 18
Computed, not measured: RbTmPdS3 after structural relaxation at the PBE-GGA level of DFT.

The value obtained for the magnetic moment is 0.00 μB/f.u. The calculation puts the total energy at -5.030 eV/atom. For the relative energy among the computed polymorphs, the calculation gives 23 meV per atom.

It has space group Cmcm (No. 63), with a = 4.044 Å, b = 15.621 Å, c = 9.720 Å, α = 90.00°, β = 90.00° and γ = 90.00°. Symmetry generates all atoms from Rb at (0.000, 0.245, 0.250), Tm at (0.000, 0.000, 0.000), Pd at (0.000, 0.496, 0.750), S at (0.000, 0.085, 0.750) and S at (0.000, 0.392, 0.572).


Record 19
Computed, not measured: Rb2U6Pd4S17 after structural relaxation at the PBE-GGA level of DFT.

The value obtained for the magnetic moment is 11.98 μB/f.u. The calculation puts the total energy at -6.707 eV/atom.

It has space group P4/mnc (No. 128), with a = 10.291 Å, b = 10.291 Å, c = 12.682 Å, α = 90.00°, β = 90.00° and γ = 90.00°. Symmetry generates all atoms from Rb at (0.000, 0.000, 0.214), U at (0.000, 0.500, 0.250), U at (0.119, 0.239, 0.500), Pd at (0.065, 0.640, 0.000), S at (0.000, 0.000, 0.500), S at (0.082, 0.292, 0.133) and S at (0.090, 0.724, 0.368).